[1]
DyPuMgAl | PBE-GGA | relaxed

The value obtained for the total energy is -6.148 eV/atom. For the formation energy, the calculation gives -8 kJ/mol of atoms.

The structure belongs to space group F-43m (No. 216); the cell edges are 7.353, 7.353 and 7.353 Å and the angles 90.00°, 90.00° and 90.00°. The distinct sites, in fractional coordinates, are Dy at (0.000, 0.000, 0.000), Pu at (0.000, 0.000, 0.500), Mg at (0.250, 0.250, 0.250) and Al at (0.250, 0.250, 0.750).

=====

[2]
SmDyMgAl | PBE-GGA | relaxed

The value obtained for the total energy is -3.934 eV/atom. For the formation energy, the calculation gives -26 kJ/mol of atoms.

The structure belongs to space group F-43m (No. 216); the cell edges are 7.425, 7.425 and 7.425 Å and the angles 90.00°, 90.00° and 90.00°. The distinct sites, in fractional coordinates, are Sm at (0.000, 0.000, 0.000), Dy at (0.000, 0.000, 0.500), Mg at (0.250, 0.250, 0.750) and Al at (0.250, 0.250, 0.250).

=====

[3]
DyMgAlTl | PBE-GGA | relaxed

The value obtained for the total energy is -3.231 eV/atom. For the formation energy, the calculation gives -15 kJ/mol of atoms.

The structure belongs to space group F-43m (No. 216); the cell edges are 7.243, 7.243 and 7.243 Å and the angles 90.00°, 90.00° and 90.00°. The distinct sites, in fractional coordinates, are Dy at (0.000, 0.000, 0.000), Mg at (0.000, 0.000, 0.500), Al at (0.250, 0.250, 0.750) and Tl at (0.250, 0.250, 0.250).

=====

[4]
Dy2MgAl3Zn4 | PBE-GGA | relaxed

The value obtained for the total energy is -3.033 eV/atom. For the formation energy, the calculation gives -31 kJ/mol of atoms.

The structure belongs to space group P-4m2 (No. 115); the cell edges are 4.220, 4.220 and 10.825 Å and the angles 90.00°, 90.00° and 90.00°. The distinct sites, in fractional coordinates, are Dy at (0.000, 0.500, 0.237), Mg at (0.000, 0.000, 0.500), Al at (0.000, 0.500, 0.868), Al at (0.500, 0.500, 0.500), Zn at (0.000, 0.000, 0.000), Zn at (0.000, 0.500, 0.645) and Zn at (0.500, 0.500, 0.000).

=====

[5]
Dy4MgAl2Zn | PBE-GGA | relaxed

The value obtained for the total energy is -3.930 eV/atom. For the formation energy, the calculation gives -32 kJ/mol of atoms.

The structure belongs to space group R-3m (No. 166, hexagonal axes); the cell edges are 5.1357, 5.1357 and 25.1817 Å and the angles 90.00°, 90.00° and 120.00°. The distinct sites, in fractional coordinates, are Dy at (0.0000, 0.0000, 0.1204), Dy at (0.0000, 0.0000, 0.3709), Mg at (0.0000, 0.0000, 0.5000), Al at (0.0000, 0.0000, 0.2457) and Zn at (0.0000, 0.0000, 0.0000).

=====

[6]
Dy4MgAlZn2 | PBE-GGA | relaxed

The value obtained for the total energy is -3.562 eV/atom. For the formation energy, the calculation gives -27 kJ/mol of atoms.

The structure belongs to space group R-3m (No. 166, hexagonal axes); the cell edges are 5.1339, 5.1339 and 25.2406 Å and the angles 90.00°, 90.00° and 120.00°. The distinct sites, in fractional coordinates, are Dy at (0.0000, 0.0000, 0.1214), Dy at (0.0000, 0.0000, 0.3718), Mg at (0.0000, 0.0000, 0.5000), Al at (0.0000, 0.0000, 0.0000) and Zn at (0.0000, 0.0000, 0.2447).

=====

[7]
DyMnAl2 | PBE-GGA | relaxed

The value obtained for the total energy is -5.533 eV/atom. For the formation energy, the calculation gives -21 kJ/mol of atoms.

The structure belongs to space group P4/mmm (No. 123); the cell edges are 3.215, 3.215 and 7.049 Å and the angles 90.00°, 90.00° and 90.00°. The distinct sites, in fractional coordinates, are Dy at (0.000, 0.000, 0.000), Mn at (0.000, 0.000, 0.500) and Al at (0.500, 0.500, 0.305).

=====

[8]
DyMn4Al8 | PBE-GGA | relaxed

The value obtained for the total energy is -5.817 eV/atom. For the formation energy, the calculation gives -33 kJ/mol of atoms.

The structure belongs to space group I4/mmm (No. 139); the cell edges are 8.787, 8.787 and 4.934 Å and the angles 90.00°, 90.00° and 90.00°. The distinct sites, in fractional coordinates, are Dy at (0.000, 0.000, 0.000), Mn at (0.250, 0.250, 0.250), Al at (0.000, 0.218, 0.500) and Al at (0.000, 0.342, 0.000).